(1)
Density functional theory data (PBE) for crystalline BeTlO3 at its relaxed geometry.

As for the formation energy without anion corrections: 0.5458 eV per atom. The density of states at the Fermi level is 1.9 states/eV/f.u. The calculation puts the total moment at 0.0 μB/f.u. The calculation puts the total energy at -3.65 eV per atom.

The structure belongs to space group Pm-3m (No. 221); the cell edges are 4.167, 4.167 and 4.167 Å and the angles 90.00°, 90.00° and 90.00°. The distinct sites, in fractional coordinates, are Be at (0.000, 0.000, 0.000), Tl at (0.500, 0.500, 0.500) and O at (0.000, 0.500, 0.500).



(2)
Density functional theory data (PBE) for crystalline BeTlO2 at its relaxed geometry.

As for the formation energy without anion corrections: -0.8881 eV per atom. The density of states at the Fermi level is 2.0 states/eV/f.u. The calculation puts the total moment at 0.0 μB/f.u. The calculation puts the total energy at -4.89 eV per atom. The energy above the most stable polymorph in this dataset comes out at 599 meV per atom.

The structure belongs to space group R-3m (No. 166, hexagonal axes); the cell edges are 2.9206, 2.9206 and 18.2065 Å and the angles 90.00°, 90.00° and 120.00°. The distinct sites, in fractional coordinates, are Be at (0.0000, 0.0000, 0.0000), Tl at (0.0000, 0.0000, 0.5000) and O at (0.0000, 0.0000, 0.3812).